Record 1
# CeZnCo GGA-PBE relaxed
# - mass density (g/cm3) = 8.11
data_CeZnCo
_symmetry_space_group_name_H-M 'P 1'
_symmetry_Int_Tables_number 1
_symmetry_space_group_name_Hall 'P 1'
_cell_length_a 4.316
_cell_length_b 4.221
_cell_length_c 6.761
_cell_angle_alpha 108.22
_cell_angle_beta 96.64
_cell_angle_gamma 67.82
loop_
_atom_site_label
_atom_site_type_symbol
_atom_site_fract_x
_atom_site_fract_y
_atom_site_fract_z
_atom_site_occupancy
Co1 Co 0.864 0.896 0.160 1
Co2 Co 0.863 0.273 0.910 1
Zn1 Zn 0.692 0.917 0.536 1
Zn2 Zn 0.034 0.252 0.534 1
Ce1 Ce 0.361 0.736 0.835 1
Ce2 Ce 0.365 0.433 0.234 1



Record 2
# Y3Er8Th2 GGA-PBE relaxed
# - mass density (g/cm3) = 8.04
# - energy above the lowest structure with this stoichiometry (meV per atom) = 133
data_Y3Er8Th2
_symmetry_space_group_name_H-M 'P 1'
_symmetry_Int_Tables_number 1
_symmetry_space_group_name_Hall 'P 1'
_cell_length_a 5.631
_cell_length_b 7.324
_cell_length_c 10.989
_cell_angle_alpha 109.46
_cell_angle_beta 90.03
_cell_angle_gamma 90.00
loop_
_atom_site_label
_atom_site_type_symbol
_atom_site_fract_x
_atom_site_fract_y
_atom_site_fract_z
_atom_site_occupancy
Y1 Y 0.000 0.274 0.000 1
Y2 Y 0.000 0.726 0.000 1
Y3 Y 0.500 0.000 0.000 1
Th1 Th 0.500 0.755 0.509 1
Th2 Th 0.500 0.245 0.491 1
Er1 Er 0.000 0.666 0.332 1
Er2 Er 0.999 0.140 0.280 1
Er3 Er 0.500 0.391 0.221 1
Er4 Er 0.001 0.860 0.720 1
Er5 Er 0.500 0.171 0.779 1
Er6 Er 0.500 0.609 0.779 1
Er7 Er 0.000 0.334 0.668 1
Er8 Er 0.500 0.829 0.221 1



Record 3
# Ac4Zn3Pd GGA-PBE relaxed
# - mass density (g/cm3) = 8.54
data_Ac4Zn3Pd
_symmetry_space_group_name_H-M 'P 1'
_symmetry_Int_Tables_number 1
_symmetry_space_group_name_Hall 'P 1'
_cell_length_a 3.901
_cell_length_b 3.901
_cell_length_c 15.468
_cell_angle_alpha 90.00
_cell_angle_beta 90.00
_cell_angle_gamma 90.00
loop_
_atom_site_label
_atom_site_type_symbol
_atom_site_fract_x
_atom_site_fract_y
_atom_site_fract_z
_atom_site_occupancy
Pd1 Pd 0.500 0.500 0.000 1
Ac1 Ac 0.000 0.000 0.627 1
Ac2 Ac 0.000 0.000 0.882 1
Ac3 Ac 0.000 0.000 0.373 1
Ac4 Ac 0.000 0.000 0.118 1
Zn1 Zn 0.500 0.500 0.751 1
Zn2 Zn 0.500 0.500 0.500 1
Zn3 Zn 0.500 0.500 0.249 1



Record 4
# CsCaPb GGA-PBE relaxed
# - mass density (g/cm3) = 4.49
# - energy above the lowest structure with this stoichiometry (meV per atom) = 0
data_CsCaPb
_symmetry_space_group_name_H-M 'P 1'
_symmetry_Int_Tables_number 1
_symmetry_space_group_name_Hall 'P 1'
_cell_length_a 4.280
_cell_length_b 4.280
_cell_length_c 8.243
_cell_angle_alpha 105.05
_cell_angle_beta 105.05
_cell_angle_gamma 90.00
loop_
_atom_site_label
_atom_site_type_symbol
_atom_site_fract_x
_atom_site_fract_y
_atom_site_fract_z
_atom_site_occupancy
Ca1 Ca 0.280 0.280 0.561 1
Cs1 Cs 0.020 0.020 0.039 1
Pb1 Pb 0.700 0.700 0.400 1



Record 5
# Er5Mg2Tl GGA-PBE relaxed
# - mass density (g/cm3) = 8.02
data_Er5Mg2Tl
_symmetry_space_group_name_H-M 'P 1'
_symmetry_Int_Tables_number 1
_symmetry_space_group_name_Hall 'P 1'
_cell_length_a 8.344
_cell_length_b 8.344
_cell_length_c 8.764
_cell_angle_alpha 118.43
_cell_angle_beta 118.43
_cell_angle_gamma 90.00
loop_
_atom_site_label
_atom_site_type_symbol
_atom_site_fract_x
_atom_site_fract_y
_atom_site_fract_z
_atom_site_occupancy
Er1 Er 0.494 0.689 0.684 1
Er2 Er 0.994 0.494 0.684 1
Er3 Er 0.689 0.189 0.684 1
Er4 Er 0.189 0.994 0.684 1
Er5 Er 0.000 0.000 0.000 1
Er6 Er 0.006 0.506 0.316 1
Er7 Er 0.506 0.311 0.316 1
Er8 Er 0.500 0.500 0.000 1
Er9 Er 0.811 0.006 0.316 1
Er10 Er 0.311 0.811 0.316 1
Mg1 Mg 0.639 0.139 0.000 1
Mg2 Mg 0.361 0.861 0.000 1
Mg3 Mg 0.861 0.639 0.000 1
Mg4 Mg 0.139 0.361 0.000 1
Tl1 Tl 0.250 0.250 0.500 1
Tl2 Tl 0.750 0.750 0.500 1



DOS at the Fermi energy / states/eV/cell: 6.974, 23.699, 5.934, 1.429, 23.182
Electronic total energy / eV per atom: -5.001, -5.160, -3.550, -2.375, -3.573
Formation enthalpy at 0 K / eV/atom: -0.2297, 0.2808, -0.3691, -0.1871, -0.0267